Entry 1:
11
Lattice="3.560 2.056 7.422 -3.560 2.056 7.422 0.000 -4.111 7.422" Properties=species:S:1:pos:R:3 comment="Rb2SrP2S6 (GGA-PBE, optimized geometry)" e_form_raw_ev_per_atom=-0.96 pbc="T T T"
Rb 0.000 0.000 4.915
Rb 0.000 0.000 17.351
Sr 0.000 0.000 0.000
P 0.000 0.000 9.973
P 0.000 0.000 12.293
S -1.705 -0.984 12.777
S 0.000 -1.969 9.490
S -1.705 0.984 9.490
S 1.705 -0.984 12.777
S 0.000 1.969 12.777
S 1.705 0.984 9.490

***

Entry 2:
4
Lattice="3.809 0.000 0.000 0.000 3.809 0.000 0.000 0.000 3.090" Properties=species:S:1:pos:R:3 comment="TiBeFe2 (GGA-PBE, optimized geometry)" delta_e_f_ev_per_fu=-0.8 pbc="T T T"
Ti 0.000 0.000 0.000
Be 1.904 1.904 0.000
Fe 0.000 1.904 1.545
Fe 1.904 0.000 1.545

***

Entry 3:
16
Lattice="7.216 0.000 0.000 0.000 7.216 0.000 0.000 0.000 7.216" Properties=species:S:1:pos:R:3 comment="TmZrInHg (GGA-PBE, optimized geometry)" delta_e_f_ev_per_fu=-1.1 pbc="T T T"
Tm 0.000 0.000 0.000
Tm 0.000 3.608 3.608
Tm 3.608 0.000 3.608
Tm 3.608 3.608 0.000
Zr 0.000 0.000 3.608
Zr 0.000 3.608 0.000
Zr 3.608 0.000 0.000
Zr 3.608 3.608 3.608
In 1.804 1.804 1.804
In 1.804 5.412 5.412
In 5.412 1.804 5.412
In 5.412 5.412 1.804
Hg 1.804 1.804 5.412
Hg 1.804 5.412 1.804
Hg 5.412 1.804 1.804
Hg 5.412 5.412 5.412

***

Entry 4:
8
Lattice="4.042 0.000 0.000 0.000 4.042 0.000 0.000 0.000 7.819" Properties=species:S:1:pos:R:3 comment="ScRe2As (GGA-PBE, optimized geometry)" delta_e_f_ev_per_fu=0.5 pbc="T T T"
Sc 0.000 0.000 0.000
Sc 2.021 2.021 3.909
Re 0.000 0.000 3.909
Re 0.000 2.021 1.955
Re 2.021 0.000 5.864
Re 2.021 2.021 0.000
As 0.000 2.021 5.864
As 2.021 0.000 1.955

***

Entry 5:
12
Lattice="5.897 0.000 0.000 -2.949 5.107 0.000 0.000 0.000 9.094" Properties=species:S:1:pos:R:3 comment="Sr2TlPd3 (GGA-PBE, optimized geometry)" polymorph_energy_mev_per_atom=0 delta_e_f_ev_per_fu=-3.2 pbc="T T T"
Sr 0.000 3.405 0.599
Sr 0.000 3.405 3.948
Sr 2.949 1.702 5.147
Sr 2.949 1.702 8.495
Tl 0.000 0.000 0.000
Tl 0.000 0.000 4.547
Pd 0.000 1.768 6.821
Pd -1.418 4.223 6.821
Pd 1.531 0.884 2.274
Pd 1.418 4.223 6.821
Pd 4.366 0.884 2.274
Pd 2.949 3.339 2.274

***

Entry 6:
24
Lattice="12.684 0.000 0.000 0.000 4.721 0.000 0.000 0.000 10.638" Properties=species:S:1:pos:R:3 comment="La3Zn2Rh (GGA-PBE, optimized geometry)" delta_e_f_ev_per_fu=-2.7 pbc="T T T"
La 0.711 1.180 1.165
La 1.379 3.540 5.996
La 3.060 1.180 8.362
La 3.282 3.540 3.043
La 4.963 1.180 0.677
La 5.631 3.540 6.483
La 7.053 1.180 4.154
La 7.721 3.540 9.961
La 9.402 1.180 7.595
La 9.624 3.540 2.276
La 11.305 1.180 4.642
La 11.973 3.540 9.473
Zn 0.110 3.540 3.106
Zn 2.611 3.540 10.501
Zn 3.731 1.180 5.182
Zn 6.232 1.180 8.425
Zn 6.451 3.540 2.213
Zn 8.953 3.540 5.456
Zn 10.073 1.180 0.137
Zn 12.574 1.180 7.532
Rh 1.422 1.180 3.845
Rh 4.920 3.540 9.164
Rh 7.764 1.180 1.474
Rh 11.262 3.540 6.793

***

Entry 7:
18
Lattice="2.711 -11.032 0.000 2.711 11.032 0.000 0.000 0.000 10.313" Properties=species:S:1:pos:R:3 comment="Pr5DyY2Sc (GGA-PBE, optimized geometry)" delta_e_f_ev_per_fu=1.1 pbc="T T T"
Pr 2.711 11.028 0.000
Pr 2.711 -11.028 5.157
Pr 2.711 8.235 7.738
Pr 2.711 6.152 4.519
Pr 2.711 6.140 0.657
Pr 2.711 0.015 2.579
Pr 2.711 -0.015 7.736
Pr 2.711 -6.140 5.814
Pr 2.711 -6.152 9.676
Pr 2.711 -8.235 2.581
Dy 2.711 8.790 2.581
Dy 2.711 -8.790 7.737
Y 2.711 2.553 5.190
Y 2.711 2.542 10.283
Y 2.711 -2.542 5.126
Y 2.711 -2.553 0.034
Sc 2.711 4.701 7.744
Sc 2.711 -4.701 2.588

***

Entry 8:
18
Lattice="5.920 0.000 0.000 0.000 5.920 0.000 0.000 0.000 11.551" Properties=species:S:1:pos:R:3 comment="CuSb2P6 (GGA-PBE, optimized geometry)" polymorph_energy_mev_per_atom=559 e_form_raw_ev_per_atom=0.76 pbc="T T T"
Cu 0.000 0.000 0.000
Cu 2.960 2.960 5.775
Sb 0.000 0.000 3.907
Sb 0.000 0.000 7.643
Sb 2.960 2.960 1.868
Sb 2.960 2.960 9.683
P 1.051 1.051 1.757
P 1.051 1.051 9.794
P 1.324 1.324 5.775
P 1.636 4.284 0.000
P 1.909 4.011 4.018
P 1.909 4.011 7.533
P 4.011 1.909 4.018
P 4.011 1.909 7.533
P 4.284 1.636 0.000
P 4.596 4.596 5.775
P 4.869 4.869 1.757
P 4.869 4.869 9.794

***

Entry 9:
14
Lattice="5.560 0.000 0.000 0.000 5.560 0.000 0.000 0.000 16.517" Properties=species:S:1:pos:R:3 comment="Sr4NiAg2 (GGA-PBE, optimized geometry)" delta_e_f_ev_per_fu=-0.4 pbc="T T T"
Sr 0.000 0.000 3.009
Sr 0.000 0.000 13.508
Sr 0.000 2.780 0.000
Sr 0.000 2.780 8.259
Sr 2.780 0.000 0.000
Sr 2.780 0.000 8.259
Sr 2.780 2.780 5.250
Sr 2.780 2.780 11.268
Ni 0.000 0.000 0.000
Ni 2.780 2.780 8.259
Ag 0.000 0.000 6.258
Ag 0.000 0.000 10.260
Ag 2.780 2.780 2.001
Ag 2.780 2.780 14.516

***

Entry 10:
16
Lattice="2.744 0.000 0.000 0.000 8.513 0.000 0.000 0.000 11.247" Properties=species:S:1:pos:R:3 comment="Ti3ZnGa4 (GGA-PBE, optimized geometry)" polymorph_energy_mev_per_atom=147 delta_e_f_ev_per_fu=-1.8 pbc="T T T"
Ti 0.000 0.000 0.000
Ti 0.000 4.256 2.505
Ti 0.000 4.256 8.742
Ti 1.372 0.000 3.119
Ti 1.372 0.000 8.128
Ti 1.372 4.256 5.623
Zn 0.000 0.000 5.623
Zn 1.372 4.256 0.000
Ga 0.000 2.202 4.249
Ga 0.000 2.202 6.998
Ga 0.000 6.311 4.249
Ga 0.000 6.311 6.998
Ga 1.372 2.055 1.375
Ga 1.372 2.055 9.872
Ga 1.372 6.458 1.375
Ga 1.372 6.458 9.872

***

no.,final energy (hartree per atom)
1,-0.1662
2,-0.2696
3,-0.1575
4,-0.3248
5,-0.1504
6,-0.1676
7,-0.1906
8,-0.1551
9,-0.0976
10,-0.1785